1.
VASP calculation (PBE) on an optimized crystal structure of ScNiMo2.

Lattice parameters (Å, degrees): 5.321 5.321 2.726 81.07 81.07 120.79
Atoms (fractional coordinates):
1 Ni 0.500 0.000 0.500
2 Sc 0.000 0.500 0.500
3 Mo 0.500 0.500 0.000
4 Mo 0.000 0.000 0.000

Values from the calculation:
calculated volume	15.74	Å³/atom
ΔE_f	0.13	eV per atom
VASP energy	-8.3098	eV/atom
polymorph energy (0 for the lowest one)	66	kJ/mol of formula units

---

2.
VASP calculation (PBE) on an optimized crystal structure of Sc2Ni9Mo.

Lattice parameters (Å, degrees): 3.677 3.677 11.078 90.00 90.00 90.00
Atoms (fractional coordinates):
1 Sc 0.000 0.000 0.336
2 Sc 0.000 0.000 0.664
3 Ni 0.500 0.000 0.157
4 Ni 0.500 0.000 0.500
5 Ni 0.500 0.500 0.328
6 Ni 0.000 0.500 0.157
7 Ni 0.000 0.500 0.843
8 Ni 0.500 0.500 0.672
9 Ni 0.000 0.500 0.500
10 Ni 0.500 0.000 0.843
11 Ni 0.500 0.500 0.000
12 Mo 0.000 0.000 0.000

Values from the calculation:
calculated volume	12.48	Å³/atom
ΔE_f	-0.30	eV per atom
VASP energy	-6.5974	eV/atom

---

3.
VASP calculation (PBE) on an optimized crystal structure of ScNiMo3.

Lattice parameters (Å, degrees): 4.532 4.532 4.532 90.00 90.00 90.00
Atoms (fractional coordinates):
1 Mo 0.500 0.000 0.000
2 Mo 0.000 0.000 0.500
3 Mo 0.000 0.500 0.000
4 Sc 0.000 0.000 0.000
5 Ni 0.500 0.500 0.500

Values from the calculation:
calculated volume	18.62	Å³/atom
ΔE_f	2.14	eV per atom
VASP energy	-6.7794	eV/atom
polymorph energy (0 for the lowest one)	537	kJ/mol of formula units

---

4.
VASP calculation (PBE) on an optimized crystal structure of ScNi2Mo2.

Lattice parameters (Å, degrees): 7.369 7.369 2.739 90.00 90.00 90.00
Atoms (fractional coordinates):
1 Sc 0.000 0.000 0.000
2 Sc 0.500 0.500 0.000
3 Ni 0.382 0.882 0.000
4 Ni 0.618 0.118 0.000
5 Ni 0.882 0.618 0.000
6 Ni 0.118 0.382 0.000
7 Mo 0.676 0.824 0.500
8 Mo 0.824 0.324 0.500
9 Mo 0.176 0.676 0.500
10 Mo 0.324 0.176 0.500

Values from the calculation:
calculated volume	14.88	Å³/atom
ΔE_f	0.08	eV per atom
VASP energy	-7.8269	eV/atom
polymorph energy (0 for the lowest one)	0	kJ/mol of formula units

---

5.
VASP calculation (PBE) on an optimized crystal structure of Sc4NiMo.

Lattice parameters (Å, degrees): 5.510 5.510 5.510 60.00 60.00 60.00
Atoms (fractional coordinates):
1 Ni 0.000 0.000 0.000
2 Sc 0.375 0.874 0.375
3 Sc 0.874 0.375 0.375
4 Sc 0.375 0.375 0.375
5 Sc 0.375 0.375 0.874
6 Mo 0.750 0.750 0.750

Values from the calculation:
calculated volume	19.71	Å³/atom
ΔE_f	0.68	eV per atom
VASP energy	-6.3065	eV/atom

---

6.
VASP calculation (PBE) on an optimized crystal structure of Sc2NiMo.

Lattice parameters (Å, degrees): 9.476 9.476 9.476 18.18 18.18 18.18
Atoms (fractional coordinates):
1 Mo 0.000 0.000 0.000
2 Sc 0.905 0.905 0.905
3 Sc 0.095 0.095 0.095
4 Ni 0.500 0.500 0.500

Values from the calculation:
calculated volume	18.08	Å³/atom
ΔE_f	0.36	eV per atom
VASP energy	-6.9598	eV/atom

---

> VASP energy of number 3 (ScNiMo3)?

-6.7794 eV/atom